No. 1
AcPmY6Tm2 | the Alexandria database | GGA-PBE | relaxed; space-group type = C2/c, No. 15
1.0
4.664 -7.604 0.000
4.664 7.604 0.000
-0.855 0.000 9.531
Ac Pm Y Tm
2 2 12 4
direct
0.033 0.967 0.750
0.967 0.033 0.250
0.412 0.588 0.250
0.588 0.412 0.750
0.013 0.553 0.678
0.121 0.754 0.057
0.246 0.879 0.443
0.291 0.515 0.887
0.447 0.987 0.822
0.485 0.709 0.613
0.515 0.291 0.387
0.553 0.013 0.178
0.709 0.485 0.113
0.754 0.121 0.557
0.879 0.246 0.943
0.987 0.447 0.322
0.200 0.310 0.552
0.310 0.200 0.052
0.690 0.800 0.948
0.800 0.690 0.448

***

No. 2
AcPm2V | the Alexandria database | GGA-PBE | relaxed; space-group type = R-3m, No. 166
1.0
1.784 1.030 11.927
-1.784 1.030 11.927
0.000 -2.060 11.927
Ac Pm V
1 2 1
direct
0.000 0.000 0.000
0.421 0.421 0.421
0.579 0.579 0.579
0.500 0.500 0.500

***

No. 3
Ac2PmV | the Alexandria database | GGA-PBE | relaxed; space-group type = R-3m, No. 166
1.0
1.849 1.068 12.273
-1.849 1.068 12.273
0.000 -2.135 12.273
Ac Pm V
2 1 1
direct
0.082 0.082 0.082
0.918 0.918 0.918
0.500 0.500 0.500
0.000 0.000 0.000

***

No. 4
Ac2PmY | the Alexandria database | GGA-PBE | relaxed; space-group type = P4/mmm, No. 123; ΔE to the lowest computed polymorph = 2 meV/atom
1.0
5.448 0.000 0.000
0.000 5.448 0.000
0.000 0.000 5.205
Ac Pm Y
2 1 1
direct
0.000 0.500 0.000
0.500 0.000 0.000
0.000 0.000 0.500
0.500 0.500 0.500

***

No. 5
Ac11Pm4Y9 | the Alexandria database | GGA-PBE | relaxed; space-group type = Cmmm, No. 65
1.0
8.864 -13.462 0.000
8.864 13.462 0.000
0.000 0.000 3.877
Ac Pm Y
11 4 9
direct
0.000 0.000 0.000
0.043 0.404 0.000
0.159 0.841 0.000
0.291 0.291 0.000
0.368 0.632 0.000
0.404 0.043 0.000
0.596 0.957 0.000
0.632 0.368 0.000
0.709 0.709 0.000
0.841 0.159 0.000
0.957 0.596 0.000
0.241 0.444 0.500
0.444 0.241 0.500
0.556 0.759 0.500
0.759 0.556 0.500
0.069 0.214 0.500
0.168 0.632 0.500
0.214 0.069 0.500
0.368 0.832 0.500
0.500 0.500 0.500
0.632 0.168 0.500
0.786 0.931 0.500
0.832 0.368 0.500
0.931 0.786 0.500

***

No. 6
Ac2Pm6Y3 | the Alexandria database | GGA-PBE | relaxed; space-group type = R-3m, No. 166
1.0
1.853 1.070 32.947
-1.853 1.070 32.947
0.000 -2.139 32.947
Ac Pm Y
2 6 3
direct
0.047 0.047 0.047
0.953 0.953 0.953
0.137 0.137 0.137
0.318 0.318 0.318
0.412 0.412 0.412
0.588 0.588 0.588
0.682 0.682 0.682
0.863 0.863 0.863
0.225 0.225 0.225
0.500 0.500 0.500
0.775 0.775 0.775

***

No. 7
Ac2Pm4Y3 | the Alexandria database | GGA-PBE | relaxed; space-group type = C2/c, No. 15; ΔE to the lowest computed polymorph = 24 meV/atom
1.0
8.620 -6.044 0.000
8.620 6.044 0.000
-0.846 0.000 6.172
Ac Pm Y
4 8 6
direct
0.002 0.769 0.712
0.231 0.998 0.788
0.769 0.002 0.212
0.998 0.231 0.288
0.115 0.363 0.851
0.332 0.556 0.961
0.363 0.115 0.351
0.444 0.668 0.539
0.556 0.332 0.461
0.637 0.885 0.649
0.668 0.444 0.039
0.885 0.637 0.149
0.148 0.852 0.250
0.207 0.476 0.401
0.476 0.207 0.901
0.524 0.793 0.099
0.793 0.524 0.599
0.852 0.148 0.750

***

No. 8
Ac4Pm3Y | the Alexandria database | GGA-PBE | relaxed; space-group type = Pmmn, No. 59
1.0
5.429 0.000 0.000
0.000 10.846 0.000
0.000 0.000 10.673
Ac Pm Y
8 6 2
direct
0.250 0.000 0.138
0.250 0.250 0.863
0.250 0.500 0.138
0.250 0.750 0.864
0.750 0.000 0.862
0.750 0.250 0.136
0.750 0.500 0.862
0.750 0.750 0.137
0.250 0.000 0.612
0.250 0.500 0.612
0.250 0.750 0.388
0.750 0.000 0.388
0.750 0.250 0.612
0.750 0.500 0.388
0.250 0.250 0.387
0.750 0.750 0.613

***

No. 9
Ac3Pm3Y4 | the Alexandria database | GGA-PBE | relaxed; space-group type = Amm2, No. 38
1.0
3.782 0.000 0.000
0.000 6.998 7.071
0.000 -6.998 7.071
Ac Pm Y
3 3 4
direct
0.000 0.000 0.000
0.500 0.328 0.825
0.500 0.825 0.328
0.000 0.154 0.502
0.000 0.502 0.154
0.000 0.649 0.649
0.500 0.211 0.211
0.500 0.448 0.448
0.500 0.695 0.939
0.500 0.939 0.695

***

No. 10
Ac2Pm7Y4 | the Alexandria database | GGA-PBE | relaxed; space-group type = P-31m, No. 162
1.0
6.331 0.000 0.000
-3.166 5.483 0.000
0.000 0.000 13.323
Ac Pm Y
2 7 4
direct
0.333 0.667 0.000
0.667 0.333 0.000
0.000 0.000 0.000
0.000 0.372 0.773
0.000 0.628 0.227
0.372 0.000 0.773
0.372 0.372 0.227
0.628 0.000 0.227
0.628 0.628 0.773
0.000 0.000 0.394
0.000 0.000 0.606
0.333 0.667 0.500
0.667 0.333 0.500

***

No. 11
AcPm6Y3 | the Alexandria database | GGA-PBE | relaxed; space-group type = Cmc2_1, No. 36; ΔE to the lowest computed polymorph = 0 meV/atom
1.0
4.959 -10.804 0.000
4.959 10.804 0.000
0.000 0.000 6.551
Ac Pm Y
2 12 6
direct
0.153 0.847 0.500
0.847 0.153 0.000
0.010 0.990 0.240
0.109 0.546 0.829
0.262 0.379 0.068
0.300 0.700 0.292
0.379 0.262 0.568
0.454 0.891 0.829
0.546 0.109 0.329
0.621 0.738 0.068
0.700 0.300 0.792
0.738 0.621 0.568
0.891 0.454 0.329
0.990 0.010 0.740
0.045 0.303 0.481
0.303 0.045 0.981
0.418 0.582 0.596
0.582 0.418 0.096
0.697 0.955 0.481
0.955 0.697 0.981

***

No. 12
Ac4Pm2Y5 | the Alexandria database | GGA-PBE | relaxed; space-group type = C2/m, No. 12
1.0
10.012 -3.013 0.000
10.012 3.013 0.000
-0.393 0.000 6.760
Ac Pm Y
4 2 5
direct
0.054 0.054 0.270
0.321 0.321 0.897
0.679 0.679 0.103
0.946 0.946 0.730
0.416 0.416 0.421
0.584 0.584 0.579
0.140 0.140 0.788
0.244 0.244 0.371
0.500 0.500 0.000
0.756 0.756 0.629
0.860 0.860 0.212

***

No. 13
Ac2PmY | the Alexandria database | GGA-PBE | relaxed; space-group type = Fm-3m, No. 225; ΔE to the lowest computed polymorph = 61 meV/atom
1.0
0.000 4.270 4.270
4.270 0.000 4.270
4.270 4.270 0.000
Ac Pm Y
2 1 1
direct
0.250 0.250 0.250
0.750 0.750 0.750
0.000 0.000 0.000
0.500 0.500 0.500

***

No. 14
AcPm6Y | the Alexandria database | GGA-PBE | relaxed; space-group type = P-1, No. 2; ΔE to the lowest computed polymorph = 150 meV/atom
1.0
6.856 0.000 0.000
0.538 6.857 0.000
0.673 3.352 6.033
Ac Pm Y
1 6 1
direct
0.000 0.000 0.000
0.256 0.478 0.969
0.256 0.945 0.490
0.274 0.447 0.461
0.726 0.553 0.539
0.744 0.055 0.510
0.744 0.522 0.031
0.500 0.000 0.000

***

No. 15
AcPm6Y3 | the Alexandria database | GGA-PBE | relaxed; space-group type = Cmc2_1, No. 36; ΔE to the lowest computed polymorph = 62 meV/atom
1.0
5.777 -6.665 0.000
5.777 6.665 0.000
0.000 0.000 9.361
Ac Pm Y
2 12 6
direct
0.248 0.752 0.500
0.752 0.248 0.000
0.078 0.402 0.260
0.079 0.304 0.611
0.267 0.733 0.944
0.304 0.079 0.111
0.402 0.078 0.760
0.484 0.516 0.198
0.516 0.484 0.698
0.598 0.922 0.260
0.696 0.921 0.611
0.733 0.267 0.444
0.921 0.696 0.111
0.922 0.598 0.760
0.019 0.981 0.847
0.205 0.364 0.926
0.364 0.205 0.426
0.636 0.795 0.926
0.795 0.636 0.426
0.981 0.019 0.347

***

No. 16
Ac5Pm4Y | the Alexandria database | GGA-PBE | relaxed; space-group type = P4/mmm, No. 123
1.0
3.886 0.000 0.000
0.000 3.886 0.000
0.000 0.000 25.928
Ac Pm Y
5 4 1
direct
0.000 0.000 0.000
0.000 0.000 0.201
0.000 0.000 0.402
0.000 0.000 0.598
0.000 0.000 0.799
0.500 0.500 0.101
0.500 0.500 0.302
0.500 0.500 0.698
0.500 0.500 0.899
0.500 0.500 0.500

***

No. 17
Ac4PmY6 | the Alexandria database | GGA-PBE | relaxed; space-group type = I-42m, No. 121
1.0
-3.587 3.587 8.254
3.587 -3.587 8.254
3.587 3.587 -8.254
Ac Pm Y
4 1 6
direct
0.124 0.124 0.608
0.484 0.876 0.000
0.516 0.516 0.392
0.876 0.484 0.000
0.500 0.500 0.000
0.000 0.500 0.500
0.065 0.733 0.000
0.267 0.267 0.332
0.500 0.000 0.500
0.733 0.065 0.000
0.935 0.935 0.668

***

No. 18
Ac19Pm4Y6 | the Alexandria database | GGA-PBE | relaxed; space-group type = I23, No. 197
1.0
-6.801 6.801 6.801
6.801 -6.801 6.801
6.801 6.801 -6.801
Ac Pm Y
19 4 6
direct
0.000 0.000 0.000
0.000 0.266 0.266
0.000 0.734 0.734
0.005 0.788 0.342
0.212 0.218 0.555
0.218 0.555 0.212
0.266 0.000 0.266
0.266 0.266 0.000
0.337 0.782 0.995
0.342 0.005 0.788
0.445 0.663 0.658
0.555 0.212 0.218
0.658 0.445 0.663
0.663 0.658 0.445
0.734 0.000 0.734
0.734 0.734 0.000
0.782 0.995 0.337
0.788 0.342 0.005
0.995 0.337 0.782
0.000 0.000 0.646
0.000 0.646 0.000
0.354 0.354 0.354
0.646 0.000 0.000
0.117 0.617 0.500
0.383 0.500 0.883
0.500 0.117 0.617
0.500 0.883 0.383
0.617 0.500 0.117
0.883 0.383 0.500

***

No. 19
AcPmY2 | the Alexandria database | GGA-PBE | relaxed; space-group type = P4/mmm, No. 123; ΔE to the lowest computed polymorph = 55 meV/atom
1.0
4.140 0.000 0.000
0.000 4.140 0.000
0.000 0.000 8.400
Ac Pm Y
1 1 2
direct
0.000 0.000 0.000
0.000 0.000 0.500
0.500 0.500 0.266
0.500 0.500 0.734

***

No. 20
Ac2Pm8Y | the Alexandria database | GGA-PBE | relaxed; space-group type = C2/m, No. 12; ΔE to the lowest computed polymorph = 0 meV/atom
1.0
8.449 -3.463 0.000
8.449 3.463 0.000
-1.289 0.000 6.894
Ac Pm Y
2 8 1
direct
0.199 0.199 0.310
0.801 0.801 0.690
0.178 0.650 0.101
0.245 0.245 0.821
0.350 0.822 0.899
0.414 0.414 0.596
0.586 0.586 0.404
0.650 0.178 0.101
0.755 0.755 0.179
0.822 0.350 0.899
0.000 0.000 0.500

***

no.,formation energy (eV per atom),DOS at the Fermi energy (states/eV per atom),total magnetization (μB per formula unit)
1,0.128,1.569,0.000
2,0.705,1.289,3.350
3,0.746,1.342,3.677
4,0.035,1.449,0.000
5,0.091,1.498,0.004
6,0.037,1.386,0.000
7,0.097,1.574,0.000
8,0.040,1.773,0.000
9,0.088,1.224,0.000
10,0.193,1.450,0.000
11,0.131,1.437,0.000
12,0.090,1.691,0.000
13,0.094,1.827,0.000
14,0.178,1.526,0.000
15,0.193,1.473,0.000
16,0.034,1.625,0.000
17,0.294,1.492,0.000
18,0.376,1.740,0.001
19,0.091,1.788,0.000
20,0.146,1.588,0.000